w.
Here is a geometry-optimized TeMoSe2SBr structure from OQMD via LeMat-Bulk. Energies are from PBE.

Total magnetic moment = 0.000 μB per atom

a b c (Å): 6.4867 8.0763 8.2438
angles (deg): 111.78 97.52 113.50
Closest atoms and distances in Å follow each position.
Fractional coordinates of all 12 atoms:
Te (0.1356, 0.1677, 0.3206)  1 Se 2.66, 2 Mo 2.74-2.75
Te (0.8644, 0.8323, 0.6794)  1 Se 2.66, 2 Mo 2.74-2.75
Mo (0.2275, 0.0006, 0.0010)  2 S 2.55, 4 Se 2.57-2.65, 2 Te 2.74-2.75
Mo (0.7725, 0.9994, 0.9990)  2 S 2.55, 4 Se 2.57-2.65, 2 Te 2.74-2.75
Se (0.0997, 0.2288, 0.9147)  2 Mo 2.57, 1 Te 2.66
Se (0.4549, 0.9926, 0.7565)  1 S 2.24
Se (0.5451, 0.0074, 0.2435)  1 S 2.24
Se (0.9003, 0.7712, 0.0853)  2 Mo 2.57, 1 Te 2.66
S (0.3358, 0.7311, 0.8218)  1 Se 2.24
S (0.6642, 0.2689, 0.1782)  1 Se 2.24
Br (0.3507, 0.6175, 0.2563)  2 Se 2.93-2.94
Br (0.6493, 0.3825, 0.7437)  2 Se 2.93-2.94

=====

x.
Here is a geometry-optimized TeMoSe2SBr structure from OQMD via LeMat-Bulk. Energies are from PBE.

Total magnetic moment = 0.001 μB per atom

a b c (Å): 6.4678 8.0621 8.1781
angles (deg): 110.77 113.28 98.05
Closest atoms and distances in Å follow each position.
Fractional coordinates of all 12 atoms:
Te (0.1370, 0.3271, 0.1611)  1 Se 2.65, 2 Mo 2.74-2.75
Te (0.8630, 0.6729, 0.8389)  1 Se 2.65, 2 Mo 2.74-2.75
Mo (0.2258, 0.0010, 0.0008)  2 S 2.51, 4 Se 2.57-2.68, 2 Te 2.74-2.75
Mo (0.7742, 0.9990, 0.9992)  2 S 2.51, 4 Se 2.57-2.68, 2 Te 2.74-2.75
Se (0.0970, 0.9092, 0.2250)  2 Mo 2.57, 1 Te 2.65
Se (0.3222, 0.8074, 0.7138)  1 S 2.20
Se (0.6778, 0.1926, 0.2862)  1 S 2.20
Se (0.9030, 0.0908, 0.7750)  2 Mo 2.57, 1 Te 2.65
S (0.4538, 0.7725, 0.9884)  1 Se 2.20
S (0.5462, 0.2275, 0.0116)  1 Se 2.20
Br (0.3421, 0.2413, 0.6028)  1 Se 2.88, 1 S 3.12
Br (0.6579, 0.7587, 0.3972)  1 Se 2.88, 1 S 3.12

=====

Stability, descending: x, w

=====

w.
Here is a geometry-optimized TeMoSe2SBr structure from OQMD via LeMat-Bulk. Energies are from PBE.

Total magnetic moment = 0.000 μB per atom

a b c (Å): 6.4590 8.0888 8.2656
angles (deg): 117.44 104.64 98.09
Closest atoms and distances in Å follow each position.
Fractional coordinates of all 12 atoms:
Te (0.1179, 0.0983, 0.3126)  1 Se 2.52
Te (0.8821, 0.9017, 0.6874)  1 Se 2.52
Mo (0.2833, 0.9999, 0.0003)  2 S 2.43, 4 Se 2.56-2.66
Mo (0.7167, 0.0001, 0.9997)  2 S 2.43, 4 Se 2.56-2.66
Se (0.0394, 0.2370, 0.9919)  1 Te 2.52, 2 Mo 2.66
Se (0.3774, 0.6930, 0.7878)  1 S 2.35, 2 Mo 2.56
Se (0.6226, 0.3070, 0.2122)  1 S 2.35, 2 Mo 2.56
Se (0.9606, 0.7630, 0.0081)  1 Te 2.52, 2 Mo 2.66
S (0.4846, 0.1541, 0.8701)  1 Se 2.35, 2 Mo 2.43
S (0.5154, 0.8459, 0.1299)  1 Se 2.35, 2 Mo 2.43
Br (0.2428, 0.6234, 0.4123)  1 Se 2.76
Br (0.7572, 0.3766, 0.5877)  1 Se 2.76

=====

x.
Here is a geometry-optimized TeMoSe2SBr structure from OQMD via LeMat-Bulk. Energies are from PBE.

Total magnetic moment = 0.000 μB per atom

a b c (Å): 6.4116 8.2656 8.2903
angles (deg): 117.24 97.69 104.68
Closest atoms and distances in Å follow each position.
Fractional coordinates of all 12 atoms:
Te (0.1322, 0.2336, 0.3236)  1 S 2.57, 2 Mo 2.74, 1 Br 2.79
Te (0.8678, 0.7664, 0.6764)  1 S 2.57, 2 Mo 2.74, 1 Br 2.79
Mo (0.2235, 0.0000, 0.0002)  2 S 2.43, 4 Se 2.65-2.69
Mo (0.7765, 0.0000, 0.9998)  2 S 2.43, 4 Se 2.65-2.69
Se (0.3956, 0.7172, 0.9272)  1 Se 2.33
Se (0.4636, 0.0133, 0.7665)  1 Se 2.33
Se (0.5364, 0.9867, 0.2335)  1 Se 2.33
Se (0.6044, 0.2828, 0.0728)  1 Se 2.33
S (0.0226, 0.1406, 0.8620)  2 Mo 2.43, 1 Te 2.57
S (0.9774, 0.8594, 0.1380)  2 Mo 2.43, 1 Te 2.57
Br (0.2639, 0.6068, 0.3743)  1 Te 2.79
Br (0.7361, 0.3932, 0.6257)  1 Te 2.79

=====

y.
Here is a geometry-optimized TeMoSe2SBr structure from OQMD via LeMat-Bulk. Energies are from PBE.

Total magnetic moment = 0.000 μB per atom

a b c (Å): 6.5481 8.2095 8.2600
angles (deg): 106.39 104.68 113.42
Closest atoms and distances in Å follow each position.
Fractional coordinates of all 12 atoms:
Te (0.2113, 0.2583, 0.2595)  1 Se 2.57, 2 Mo 2.83-2.84
Te (0.7887, 0.7417, 0.7405)  1 Se 2.57, 2 Mo 2.83-2.84
Mo (0.2830, 0.0004, 0.0007)  2 S 2.44, 4 Se 2.56-2.71
Mo (0.7170, 0.9996, 0.9993)  2 S 2.44, 4 Se 2.56-2.71
Se (0.0045, 0.8906, 0.1856)  1 Te 2.57, 2 Mo 2.71
Se (0.3296, 0.8498, 0.7051)  1 S 2.30, 2 Mo 2.56
Se (0.6704, 0.1502, 0.2949)  1 S 2.30, 2 Mo 2.56
Se (0.9955, 0.1094, 0.8144)  1 Te 2.57, 2 Mo 2.71
S (0.3262, 0.7104, 0.9100)  1 Se 2.30, 2 Mo 2.44
S (0.6738, 0.2896, 0.0900)  1 Se 2.30, 2 Mo 2.44
Br (0.3973, 0.6379, 0.2423)  1 Te 2.92, 1 S 2.93
Br (0.6027, 0.3621, 0.7577)  1 Te 2.92, 1 S 2.93

=====

Stability, descending: x, w, y

=====

w.
Here is a geometry-optimized TeMoSe2SBr structure from OQMD via LeMat-Bulk. Energies are from PBE.

Total magnetic moment = 0.000 μB per atom

a b c (Å): 6.4014 8.1751 8.3388
angles (deg): 116.91 104.66 97.62
Closest atoms and distances in Å follow each position.
Fractional coordinates of all 12 atoms:
Te (0.1322, 0.3251, 0.2332)  1 Se 2.69, 2 Mo 2.75, 1 Br 2.79
Te (0.8678, 0.6749, 0.7668)  1 Se 2.69, 2 Mo 2.75, 1 Br 2.79
Mo (0.2265, 0.0000, 0.9994)  2 S 2.51, 4 Se 2.57-2.67, 2 Te 2.75
Mo (0.7735, 0.0000, 0.0006)  2 S 2.51, 4 Se 2.57-2.67, 2 Te 2.75
Se (0.0258, 0.8504, 0.1535)  2 Mo 2.57-2.58, 1 Te 2.69
Se (0.3973, 0.9300, 0.7214)  1 S 2.19
Se (0.6027, 0.0700, 0.2786)  1 S 2.19
Se (0.9742, 0.1496, 0.8465)  2 Mo 2.57-2.58, 1 Te 2.69
S (0.4695, 0.7871, 0.0182)  1 Se 2.19
S (0.5305, 0.2129, 0.9818)  1 Se 2.19
Br (0.2621, 0.3694, 0.5999)  1 Te 2.79
Br (0.7379, 0.6306, 0.4001)  1 Te 2.79

=====

x.
Here is a geometry-optimized TeMoSe2SBr structure from OQMD via LeMat-Bulk. Energies are from PBE.

Total magnetic moment = 0.000 μB per atom

a b c (Å): 6.5077 8.2133 8.3359
angles (deg): 106.36 112.93 104.87
Closest atoms and distances in Å follow each position.
Fractional coordinates of all 12 atoms:
Te (0.2115, 0.2625, 0.2544)  1 S 2.42
Te (0.7885, 0.7375, 0.7456)  1 S 2.42
Mo (0.2784, 0.0007, 0.0003)  4 Se 2.57, 2 S 2.58, 2 Te 2.82
Mo (0.7216, 0.9993, 0.9997)  4 Se 2.57, 2 S 2.58, 2 Te 2.82
Se (0.3221, 0.9187, 0.6972)  1 Se 2.49, 2 Mo 2.57
Se (0.3316, 0.7044, 0.8572)  1 Se 2.49, 2 Mo 2.57
Se (0.6684, 0.2956, 0.1428)  1 Se 2.49, 2 Mo 2.57
Se (0.6779, 0.0813, 0.3028)  1 Se 2.49, 2 Mo 2.57
S (0.0146, 0.1816, 0.9120)  1 Te 2.42, 2 Mo 2.58
S (0.9854, 0.8184, 0.0880)  1 Te 2.42, 2 Mo 2.58
Br (0.3966, 0.2421, 0.6338)  1 Se 2.81, 1 Te 2.99
Br (0.6034, 0.7579, 0.3662)  1 Se 2.81, 1 Te 2.99

=====

y.
Here is a geometry-optimized TeMoSe2SBr structure from OQMD via LeMat-Bulk. Energies are from PBE.

Total magnetic moment = 0.000 μB per atom

a b c (Å): 6.4945 7.5771 8.2963
angles (deg): 72.48 67.00 77.85
Closest atoms and distances in Å follow each position.
Fractional coordinates of all 12 atoms:
Te (0.1280, 0.0815, 0.2027)  1 Se 2.56
Te (0.8720, 0.9185, 0.7973)  1 Se 2.56
Mo (0.2827, 0.0003, 0.4997)  2 S 2.43, 4 Se 2.57-2.67
Mo (0.7173, 0.9997, 0.5003)  2 S 2.43, 4 Se 2.57-2.67
Se (0.0380, 0.7311, 0.5564)  1 Te 2.56, 2 Mo 2.66-2.67
Se (0.4752, 0.7294, 0.6817)  1 S 2.29, 2 Mo 2.57
Se (0.5248, 0.2706, 0.3183)  1 S 2.29, 2 Mo 2.57
Se (0.9620, 0.2689, 0.4436)  1 Te 2.56, 2 Mo 2.66-2.67
S (0.3862, 0.2032, 0.6278)  1 Se 2.29, 2 Mo 2.43
S (0.6138, 0.7968, 0.3722)  1 Se 2.29, 2 Mo 2.43
Br (0.2846, 0.7430, 0.0522)  1 Se 2.86, 1 Te 3.00
Br (0.7154, 0.2570, 0.9478)  1 Se 2.86, 1 Te 3.00

=====

Stability, descending: y, w, x